This record from Alexandria via LeMat-Bulk describes a relaxed structure of CeErP2O8. The functional is GGA-PBE.

Values from the calculation:
Formation energy (no corrections): -2.895 eV per atom
V: 14.33 Å³/atom
Total magnetization: 1.00 μB/f.u.

a b c (Å): 5.273 5.273 7.139
angles (deg): 90.00 90.00 120.00
Element x y z (fractional)
Ce (0.000, 0.000, 0.000)
Er (0.000, 0.000, 0.500)
P (0.333, 0.667, 0.791)
P (0.667, 0.333, 0.209)
O (0.172, 0.347, 0.717)
O (0.175, 0.828, 0.717)
O (0.333, 0.667, 0.005)
O (0.347, 0.175, 0.283)
O (0.653, 0.825, 0.717)
O (0.667, 0.333, 0.995)
O (0.825, 0.172, 0.283)
O (0.828, 0.653, 0.283)

***

This record from Alexandria via LeMat-Bulk describes a relaxed structure of La2ErTlC. The functional is GGA-PBE.

Values from the calculation:
E: -5.528 eV per atom
V: 27.05 Å³/atom
Total magnetization: 0.00 μB/f.u.

a b c (Å): 5.246 5.246 4.915
angles (deg): 90.00 90.00 90.00
Element x y z (fractional)
La (0.000, 0.500, 0.000)
La (0.500, 0.000, 0.000)
Er (0.000, 0.000, 0.500)
Tl (0.500, 0.500, 0.500)
C (0.000, 0.000, 0.000)

***

This record from Alexandria via LeMat-Bulk describes a relaxed structure of Rb2YTmTe4. The functional is GGA-PBE.

Values from the calculation:
Formation energy (no corrections): -1.379 eV per atom
V: 37.56 Å³/atom
Total magnetization: 0.00 μB/f.u.

a b c (Å): 7.804 4.506 8.932
angles (deg): 90.00 106.91 90.00
Element x y z (fractional)
Rb (0.000, 0.000, 0.000)
Rb (0.500, 0.500, 0.000)
Y (0.000, 0.500, 0.500)
Tm (0.500, 0.000, 0.500)
Te (0.236, 0.000, 0.699)
Te (0.270, 0.500, 0.302)
Te (0.730, 0.500, 0.698)
Te (0.764, 0.000, 0.301)